No. 1
This record from Alexandria describes crystalline Ho6P2CS3 at its relaxed geometry. The functional is PBE.

abc: 8.7121 8.7121 7.8302
angles: 103.27 103.27 25.56
With the nearest neighbours (Å) after each atom.
Fractional coordinates of all 12 atoms:
Ho1 0.0006 0.0006 0.2184  2 C 2.57, 1 P 2.75, 1 S 2.80
Ho2 0.3338 0.3338 0.4206  3 P 2.73-2.77, 3 S 2.75-2.77
Ho3 0.3486 0.3486 0.9218  1 C 2.50, 2 P 2.74, 2 S 2.77
Ho4 0.6514 0.6514 0.0782  1 C 2.50, 2 P 2.74, 2 S 2.77
Ho5 0.6662 0.6662 0.5794  3 P 2.73-2.77, 3 S 2.75-2.77
Ho6 0.9994 0.9994 0.7816  2 C 2.57, 1 P 2.75, 1 S 2.80
P1 0.1663 0.1663 0.3321  6 Ho 2.73-2.77
P2 0.8337 0.8337 0.6679  6 Ho 2.73-2.77
C1 0.5000 0.5000 0.0000  6 Ho 2.50-2.57
S1 0.1685 0.1685 0.8349  6 Ho 2.77-2.98
S2 0.5000 0.5000 0.5000  6 Ho 2.75-2.93
S3 0.8315 0.8315 0.1651  6 Ho 2.77-2.98

Summary:
M_tot ... 0.0 μB per formula unit
Density of states at the Fermi level ... 3.356 states/eV/cell
Uncorrected formation energy ... -1.6715 eV/atom


No. 2
This record from Alexandria describes crystalline BaScBi2 at its relaxed geometry. The functional is PBE.

abc: 9.0075 9.0075 6.6997
angles: 102.91 102.91 33.89
With the nearest neighbours (Å) after each atom.
Fractional coordinates of all 8 atoms:
Ba1 0.1242 0.1242 0.0907  7 Bi 3.47-3.78
Ba2 0.8758 0.8758 0.9093  7 Bi 3.47-3.78
Sc1 0.3454 0.3454 0.4361  5 Bi 2.96-3.13
Sc2 0.6546 0.6546 0.5639  5 Bi 2.96-3.13
Bi1 0.2269 0.2269 0.7025  3 Sc 2.96-3.01
Bi2 0.4966 0.4966 0.2522  2 Sc 3.02-3.13, 1 Bi 3.29
Bi3 0.5034 0.5034 0.7478  2 Sc 3.02-3.13, 1 Bi 3.29
Bi4 0.7731 0.7731 0.2975  3 Sc 2.96-3.01

Summary:
Energy above the most stable polymorph in this dataset ... 0.000 eV per atom
M_tot ... 0.0 μB per formula unit
Density of states at the Fermi level ... 1.954 states/eV/cell


No. 3
This record from Alexandria describes crystalline La2BeCd at its relaxed geometry. The functional is PBE.

abc: 5.1903 5.1903 5.1903
angles: 60.00 60.00 60.00
With the nearest neighbours (Å) after each atom.
Fractional coordinates of all 4 atoms:
La1 0.0000 0.0000 0.0000  4 Be 3.18, 4 La 3.18
La2 0.2500 0.2500 0.2500  4 Cd 3.18, 4 La 3.18
Be1 0.7500 0.7500 0.7500  4 Cd 3.18, 4 La 3.18
Cd1 0.5000 0.5000 0.5000  4 Be 3.18, 4 La 3.18

Summary:
Energy above the most stable polymorph in this dataset ... 0.380 eV per atom
M_tot ... 0.8 μB per formula unit
Density of states at the Fermi level ... 6.414 states/eV/cell


No. 4
This record from Alexandria describes crystalline Sm3DyTl at its relaxed geometry. The functional is PBE.

abc: 8.6275 8.6275 8.6275
angles: 155.75 142.41 45.24
With the nearest neighbours (Å) after each atom.
Fractional coordinates of all 5 atoms:
Sm1 0.0000 0.0000 0.0000  2 Tl 3.27, 8 Sm 3.55-3.62
Sm2 0.4201 0.4201 0.0000  8 Sm 3.34-3.62, 2 Tl 3.50
Sm3 0.8041 0.3041 0.5000  1 Tl 3.13, 2 Sm 3.34
Dy1 0.2084 0.7084 0.5000  2 Dy 3.62, 8 Sm 3.65-3.83, 4 Tl 3.68
Tl1 0.6078 0.1078 0.5000  5 Sm 3.13-3.50

Summary:
Energy above the most stable polymorph in this dataset ... 0.000 eV per atom
M_tot ... 0.0 μB per formula unit
Density of states at the Fermi level ... 5.558 states/eV/cell


No. 5
This record from Alexandria describes crystalline DyErTm2 at its relaxed geometry. The functional is PBE.

abc: 3.4991 3.4991 9.9005
angles: 90.00 90.00 90.00
With the nearest neighbours (Å) after each atom.
Fractional coordinates of all 4 atoms:
Dy1 0.0000 0.0000 0.0000  4 Dy 3.50, 8 Tm 3.51
Er1 0.0000 0.0000 0.5000  8 Tm 3.49, 4 Er 3.50
Tm1 0.5000 0.5000 0.2510  4 Er 3.49, 4 Tm 3.50, 4 Dy 3.51
Tm2 0.5000 0.5000 0.7490  4 Er 3.49, 4 Tm 3.50, 4 Dy 3.51

Summary:
Energy above the most stable polymorph in this dataset ... 0.022 eV per atom
M_tot ... 0.0 μB per formula unit
Density of states at the Fermi level ... 5.180 states/eV/cell


No. 6
This record from Alexandria describes crystalline La3SmEr2Sb6 at its relaxed geometry. The functional is PBE.

abc: 7.8221 7.8221 7.7969
angles: 99.63 99.63 119.99
With the nearest neighbours (Å) after each atom.
Fractional coordinates of all 12 atoms:
La1 0.0000 0.0000 0.0000  6 Sb 3.22-3.26
La2 0.3348 0.6652 0.0000  6 Sb 3.23-3.26
La3 0.6652 0.3348 0.0000  6 Sb 3.23-3.26
Sm1 0.5000 0.5000 0.5000  6 Sb 3.16-3.17
Er1 0.1672 0.8328 0.5000  6 Sb 3.12
Er2 0.8328 0.1672 0.5000  6 Sb 3.12
Sb1 0.0832 0.4207 0.2625  2 Er 3.12, 1 Sm 3.17, 3 La 3.23-3.26
Sb2 0.2409 0.2409 0.7359  2 Er 3.12, 1 Sm 3.16, 3 La 3.22-3.25
Sb3 0.4207 0.0832 0.2625  2 Er 3.12, 1 Sm 3.17, 3 La 3.23-3.26
Sb4 0.5793 0.9168 0.7375  2 Er 3.12, 1 Sm 3.17, 3 La 3.23-3.26
Sb5 0.7591 0.7591 0.2641  2 Er 3.12, 1 Sm 3.16, 3 La 3.22-3.25
Sb6 0.9168 0.5793 0.7375  2 Er 3.12, 1 Sm 3.17, 3 La 3.23-3.26

Summary:
M_tot ... 0.0 μB per formula unit
Density of states at the Fermi level ... 2.122 states/eV/cell
Uncorrected formation energy ... -1.1928 eV/atom